No. 1
Compound: LiMoIr2
Source: Alexandria via LeMat-Bulk
Functional: PBE-GGA
Structure: optimized geometry

Its formation enthalpy at 0 K is -29 kJ/mol of formula units. The value obtained for the size of the total moment is 0.0 μB/cell. The calculation puts the calculated volume at 14.38 Å³ per atom. The total energy comes out at -61.530 eV/cell.

The structure belongs to space group Cmmm (No. 65); the cell edges are 5.6901, 7.3250 and 2.7592 Å and the angles 90.00°, 90.00° and 90.00°. The distinct sites, in fractional coordinates, are Li at (0.0000, 0.0000, 0.0000), Mo at (0.0000, 0.5000, 0.0000) and Ir at (0.2500, 0.2500, 0.5000).

=====

No. 2
Compound: Li2MoIr
Source: Alexandria via LeMat-Bulk
Functional: PBE-GGA
Structure: optimized geometry

Its formation enthalpy at 0 K is 190 kJ/mol of formula units. The value obtained for the size of the total moment is 0.0 μB/cell. The calculation puts the calculated volume at 12.72 Å³ per atom. The total energy comes out at -86.213 eV/cell.

The structure belongs to space group Fm-3m (No. 225); the cell edges are 5.8817, 5.8817 and 5.8817 Å and the angles 90.00°, 90.00° and 90.00°. The distinct sites, in fractional coordinates, are Li at (0.2500, 0.2500, 0.2500), Mo at (0.0000, 0.0000, 0.0000) and Ir at (0.0000, 0.0000, 0.5000).

=====

No. 3
Compound: LiMoIr2
Source: Alexandria via LeMat-Bulk
Functional: PBE-GGA
Structure: optimized geometry

Its formation enthalpy at 0 K is 77 kJ/mol of formula units. The value obtained for the size of the total moment is 0.0 μB/cell. The calculation puts the calculated volume at 15.08 Å³ per atom. The total energy comes out at -59.335 eV/cell.

The structure belongs to space group Cmm2 (No. 35); the cell edges are 2.7956, 4.5937 and 9.3942 Å and the angles 90.00°, 90.00° and 90.00°. The distinct sites, in fractional coordinates, are Li at (0.0000, 0.0000, 0.0000), Mo at (0.0000, 0.5000, 0.7288), Ir at (0.0000, 0.0000, 0.4886) and Ir at (0.0000, 0.5000, 0.2329).

=====

No. 4
Compound: Li2MoIr
Source: Alexandria via LeMat-Bulk
Functional: PBE-GGA
Structure: optimized geometry

Its formation enthalpy at 0 K is 42 kJ/mol of formula units. The value obtained for the size of the total moment is 0.0 μB/cell. The calculation puts the calculated volume at 15.68 Å³ per atom. The total energy comes out at -46.159 eV/cell.

The structure belongs to space group Cmm2 (No. 35); the cell edges are 2.9094, 4.5549 and 9.4650 Å and the angles 90.00°, 90.00° and 90.00°. The distinct sites, in fractional coordinates, are Li at (0.0000, 0.0000, 0.0000), Li at (0.0000, 0.5000, 0.2796), Mo at (0.0000, 0.0000, 0.5364) and Ir at (0.0000, 0.5000, 0.7706).

=====

| no. | ΔE to the lowest computed polymorph (meV/atom) |
| --- | --- |
| 1 | 129.9 |
| 2 | 546.8 |
| 3 | 404.2 |
| 4 | 165.3 |